{"formula": "Y2Co2Hg", "functional": "SCAN", "state": "single point on PBEsol structure", "magnetic_moment_mub_per_atom": 0.36, "formation_enthalpy_0k_ev_per_fu": -0.06, "cell": [[-2.575, 2.575, 3.747], [2.575, -2.575, 3.747], [2.575, 2.575, -3.747]], "species": ["Y", "Y", "Co", "Co", "Hg"], "fractional_positions": [[0.250, 0.750, 0.500], [0.750, 0.250, 0.500], [0.150, 0.150, 0.000], [0.850, 0.850, 0.000], [0.500, 0.500, 0.000]]}